6
Lattice="0.000 3.801 3.801 3.801 0.000 3.801 3.801 3.801 0.000" Properties=species:S:1:pos:R:3 comment="NdHoRu4 (GGA-PBE, relaxed)" formation_energy_ev_per_atom=-0.2198 energy_ev_per_atom=-7.96 crystal_system=cubic pbc="T T T"
Nd 0.000 0.000 0.000
Ho 1.900 1.900 1.900
Ru 4.749 2.853 2.853
Ru 2.853 4.749 2.853
Ru 2.853 2.853 4.749
Ru 4.749 4.749 4.749